[1]
Entry from the Alexandria database: HAu2N at its PBEsol-relaxed geometry (meta-GGA SCAN).

Computed properties:
* mass density: 14.85 g cm⁻³
* DFT total energy: -36.17 eV/atom

Cell: 4.0136 4.0136 4.0136 Å, 60.00 60.00 60.00°
Closest atoms and distances in Å follow each position.
Atoms (fractional coordinates):
H 0.0000 0.0000 0.0000  8 Au 2.46
Au 0.2500 0.2500 0.2500  4 H 2.46, 4 N 2.46
Au 0.7500 0.7500 0.7500  4 H 2.46, 4 N 2.46
N 0.5000 0.5000 0.5000  8 Au 2.46


[2]
Entry from the Alexandria database: HAu2N at its PBEsol-relaxed geometry (meta-GGA SCAN).

Computed properties:
* mass density: 13.72 g cm⁻³
* DFT total energy: -36.79 eV/atom

Cell: 5.7011 5.7011 5.7011 Å, 132.45 132.45 69.52°
Closest atoms and distances in Å follow each position.
Atoms (fractional coordinates):
H 0.0000 0.0000 0.0000  4 Au 1.89
H 0.7500 0.2500 0.5000  4 Au 1.89
Au 0.0781 0.6250 0.9531  2 H 1.89
Au 0.3750 0.3281 0.4531  2 H 1.89
Au 0.6719 0.1250 0.0469  2 H 1.89
Au 0.8750 0.9219 0.5469  2 H 1.89
N 0.2500 0.7500 0.5000  4 Au 2.13
N 0.5000 0.5000 0.0000  4 Au 2.13